DFT (PBE+U) results for a relaxed structure of CrIr3F.

The calculated total energy is -0.1941 Ha/atom. The calculated volume is 92.4 Å³/cell.

It has space group Pm-3m (No. 221), with a = 4.521 Å, b = 4.521 Å, c = 4.521 Å, α = 90.00°, β = 90.00° and γ = 90.00°. The inequivalent atoms are Cr at (0.000, 0.000, 0.000), Ir at (0.000, 0.000, 0.500) and F at (0.500, 0.500, 0.500).